1.
Below is a geometry-optimized SrIn2Fe structure, with properties calculated at the PBE level.

abc: 3.990 4.640 6.259
angles: 90.00 108.53 90.00
Space group Pm (No. 6)
One atom of each set of equivalent atoms:
Sr 0.000 0.000 0.000 (multiplicity 1)
In 0.307 0.500 0.615 (multiplicity 1)
In 0.725 0.000 0.453 (multiplicity 1)
Fe 0.630 0.500 0.261 (multiplicity 1)

Its crystal system is monoclinic. As for the formation energy: 0.9 eV/f.u.


2.
Below is a geometry-optimized Sc2GaB structure, with properties calculated at the PBE level.

abc: 3.2287 3.2287 27.2608
angles: 90.00 90.00 120.00
Space group R-3m (No. 166, hexagonal axes)
One atom of each set of equivalent atoms:
Sc 0.0000 0.0000 0.0868 (multiplicity 6)
Ga 0.0000 0.0000 0.5000 (multiplicity 3)
B 0.0000 0.0000 0.0000 (multiplicity 3)

Its crystal system is trigonal. For the offset from the most stable computed form, the calculation gives 757 meV per atom. As for the formation energy: 2.5 eV/f.u.


3.
Below is a geometry-optimized BaCd structure, with properties calculated at the PBE level.

abc: 4.289 4.289 8.992
angles: 90.00 90.00 90.00
Space group P4/nmm (No. 129, origin choice 2)
One atom of each set of equivalent atoms:
Ba 0.250 0.250 0.199 (multiplicity 2)
Cd 0.250 0.250 0.587 (multiplicity 2)

Its crystal system is tetragonal. As for the formation energy: -0.4 eV/f.u.


4.
Below is a geometry-optimized MnCuCSeN structure, with properties calculated at the PBE level.

abc: 4.095 2.723 5.990
angles: 90.00 100.06 90.00
Space group Pm (No. 6)
One atom of each set of equivalent atoms:
Mn 0.000 0.000 0.000 (multiplicity 1)
Cu 0.611 0.000 0.629 (multiplicity 1)
C 0.628 0.500 0.945 (multiplicity 1)
Se 0.057 0.000 0.418 (multiplicity 1)
N 0.329 0.500 0.977 (multiplicity 1)

Its crystal system is monoclinic. For the offset from the most stable computed form, the calculation gives 29 meV per atom. The calculation puts the uncorrected formation energy at 0.1394 eV per atom.


5.
Below is a geometry-optimized Ce4PuSe6 structure, with properties calculated at the PBE level.

abc: 11.9034 11.9034 14.2942
angles: 90.00 90.00 120.00
Space group R-3c (No. 167, hexagonal axes)
One atom of each set of equivalent atoms:
Ce 0.0000 0.0000 0.2500 (multiplicity 6)
Ce 0.0000 0.3848 0.2500 (multiplicity 18)
Pu 0.0000 0.0000 0.0000 (multiplicity 6)
Se 0.0283 0.2055 0.3839 (multiplicity 36)

Its crystal system is trigonal. The calculation puts the uncorrected formation energy at -1.6419 eV per atom.


6.
Below is a geometry-optimized BaY4Au structure, with properties calculated at the PBE level.

abc: 9.334 9.334 9.334
angles: 90.00 90.00 90.00
Space group F-43m (No. 216)
One atom of each set of equivalent atoms:
Ba 0.000 0.000 0.000 (multiplicity 4)
Y 0.124 0.124 0.624 (multiplicity 16)
Au 0.250 0.250 0.250 (multiplicity 4)

Its crystal system is cubic. As for the formation energy: 2.3 eV/f.u.


7.
Below is a geometry-optimized Pu2NbCr2C4 structure, with properties calculated at the PBE level.

abc: 12.483 3.233 5.862
angles: 90.00 106.57 90.00
Space group C2/m (No. 12)
One atom of each set of equivalent atoms:
Pu 0.125 0.000 0.035 (multiplicity 4)
Nb 0.000 0.000 0.500 (multiplicity 2)
Cr 0.177 0.500 0.506 (multiplicity 4)
C 0.036 0.500 0.258 (multiplicity 4)
C 0.216 0.000 0.703 (multiplicity 4)

Its crystal system is monoclinic. As for the formation energy: -0.7 eV/f.u.


8.
Below is a geometry-optimized NaCdIn2 structure, with properties calculated at the PBE level.

abc: 3.651 3.651 7.927
angles: 90.00 90.00 90.00
Space group P4/mmm (No. 123)
One atom of each set of equivalent atoms:
Na 0.000 0.000 0.000 (multiplicity 1)
Cd 0.000 0.000 0.500 (multiplicity 1)
In 0.500 0.500 0.275 (multiplicity 2)

Its crystal system is tetragonal. As for the formation energy: -0.2 eV/f.u.


9.
Below is a geometry-optimized ReTcSb2 structure, with properties calculated at the PBE level.

abc: 3.038 3.038 9.104
angles: 90.00 90.00 90.00
Space group P4mm (No. 99)
One atom of each set of equivalent atoms:
Re 0.000 0.000 0.000 (multiplicity 1)
Tc 0.500 0.500 0.822 (multiplicity 1)
Sb 0.000 0.000 0.613 (multiplicity 1)
Sb 0.500 0.500 0.213 (multiplicity 1)

Its crystal system is tetragonal. For the offset from the most stable computed form, the calculation gives 0 meV per atom. The calculation puts the uncorrected formation energy at 0.1401 eV per atom.


10.
Below is a geometry-optimized SrYTe structure, with properties calculated at the PBE level.

abc: 3.948 3.948 13.462
angles: 90.00 90.00 90.00
Space group I4mm (No. 107)
One atom of each set of equivalent atoms:
Sr 0.000 0.000 0.000 (multiplicity 2)
Y 0.000 0.000 0.712 (multiplicity 2)
Te 0.000 0.000 0.327 (multiplicity 2)

Its crystal system is tetragonal. For the offset from the most stable computed form, the calculation gives 12 meV per atom. The calculation puts the uncorrected formation energy at -0.8052 eV per atom.


11.
Below is a geometry-optimized SmHo4Sc4 structure, with properties calculated at the PBE level.

abc: 10.267 10.267 4.815
angles: 90.00 90.00 90.00
Space group I4/mmm (No. 139)
One atom of each set of equivalent atoms:
Sm 0.000 0.000 0.000 (multiplicity 2)
Ho 0.000 0.329 0.000 (multiplicity 8)
Sc 0.168 0.168 0.500 (multiplicity 8)

Its crystal system is tetragonal. As for the formation energy: 0.5 eV/f.u.


12.
Below is a geometry-optimized CuSbPCl2 structure, with properties calculated at the PBE level.

abc: 4.541 4.541 5.002
angles: 90.00 90.00 90.00
Space group P4/mmm (No. 123)
One atom of each set of equivalent atoms:
Cu 0.000 0.000 0.000 (multiplicity 1)
Sb 0.500 0.500 0.500 (multiplicity 1)
P 0.000 0.000 0.500 (multiplicity 1)
Cl 0.000 0.500 0.000 (multiplicity 2)

Its crystal system is tetragonal. For the offset from the most stable computed form, the calculation gives 0 meV per atom. The calculation puts the uncorrected formation energy at 0.1969 eV per atom.


13.
Below is a geometry-optimized LaMnHg2 structure, with properties calculated at the PBE level.

abc: 7.286 7.286 7.286
angles: 90.00 90.00 90.00
Space group F-43m (No. 216)
One atom of each set of equivalent atoms:
La 0.000 0.000 0.000 (multiplicity 4)
Mn 0.250 0.250 0.250 (multiplicity 4)
Hg 0.000 0.000 0.500 (multiplicity 4)
Hg 0.250 0.250 0.750 (multiplicity 4)

Its crystal system is cubic. As for the formation energy: 0.1 eV/f.u.


14.
Below is a geometry-optimized LaTaW2 structure, with properties calculated at the PBE level.

abc: 6.772 8.601 2.752
angles: 90.00 90.00 90.00
Space group Cmmm (No. 65)
One atom of each set of equivalent atoms:
La 0.000 0.000 0.000 (multiplicity 2)
Ta 0.000 0.500 0.000 (multiplicity 2)
W 0.250 0.250 0.500 (multiplicity 4)

Its crystal system is orthorhombic. For the offset from the most stable computed form, the calculation gives 513 meV per atom. As for the formation energy: 3.6 eV/f.u.


15.
Below is a geometry-optimized Tm2Al3GaPt4 structure, with properties calculated at the PBE level.

abc: 4.079 4.079 10.970
angles: 90.00 90.00 90.00
Space group P-4m2 (No. 115)
One atom of each set of equivalent atoms:
Tm 0.000 0.500 0.244 (multiplicity 2)
Al 0.000 0.000 0.000 (multiplicity 1)
Al 0.000 0.500 0.632 (multiplicity 2)
Ga 0.500 0.500 0.000 (multiplicity 1)
Pt 0.000 0.000 0.500 (multiplicity 1)
Pt 0.000 0.500 0.856 (multiplicity 2)
Pt 0.500 0.500 0.500 (multiplicity 1)

Its crystal system is tetragonal. As for the formation energy: -10.7 eV/f.u.


16.
Below is a geometry-optimized Rb3LiPu3Se8 structure, with properties calculated at the PBE level.

abc: 14.617 8.400 9.374
angles: 90.00 121.30 90.00
Space group C2/m (No. 12)
One atom of each set of equivalent atoms:
Rb 0.000 0.000 0.000 (multiplicity 2)
Rb 0.250 0.250 0.000 (multiplicity 4)
Li 0.000 0.000 0.500 (multiplicity 2)
Pu 0.000 0.500 0.500 (multiplicity 2)
Pu 0.250 0.250 0.500 (multiplicity 4)
Se 0.023 0.258 0.313 (multiplicity 8)
Se 0.233 0.500 0.696 (multiplicity 4)
Se 0.236 0.000 0.686 (multiplicity 4)

Its crystal system is monoclinic. The calculation puts the uncorrected formation energy at -1.2306 eV per atom.


17.
Below is a geometry-optimized Tb2Er3Tm5 structure, with properties calculated at the PBE level.

abc: 12.605 16.803 6.171
angles: 90.00 90.00 90.00
Space group Ibam (No. 72)
One atom of each set of equivalent atoms:
Tb 0.101 0.157 0.000 (multiplicity 8)
Er 0.000 0.000 0.250 (multiplicity 4)
Er 0.159 0.250 0.500 (multiplicity 8)
Tm 0.000 0.500 0.250 (multiplicity 4)
Tm 0.099 0.344 0.000 (multiplicity 8)
Tm 0.249 0.500 0.250 (multiplicity 8)

Its crystal system is orthorhombic. For the offset from the most stable computed form, the calculation gives 157 meV per atom. As for the formation energy: 3.6 eV/f.u.


18.
Below is a geometry-optimized Na3PbAu structure, with properties calculated at the PBE level.

abc: 5.492 5.492 5.492
angles: 90.00 90.00 90.00
Space group Pm-3m (No. 221)
One atom of each set of equivalent atoms:
Na 0.000 0.000 0.500 (multiplicity 3)
Pb 0.500 0.500 0.500 (multiplicity 1)
Au 0.000 0.000 0.000 (multiplicity 1)

Its crystal system is cubic. For the offset from the most stable computed form, the calculation gives 211 meV per atom. As for the formation energy: 0.0 eV/f.u.


19.
Below is a geometry-optimized ThZn12Ga6 structure, with properties calculated at the PBE level.

abc: 11.1598 11.1598 9.5468
angles: 90.00 90.00 120.00
Space group R-3m (No. 166, hexagonal axes)
One atom of each set of equivalent atoms:
Th 0.0000 0.0000 0.0000 (multiplicity 3)
Zn 0.0000 0.3927 0.5000 (multiplicity 18)
Zn 0.0805 0.1611 0.2923 (multiplicity 18)
Ga 0.0537 0.5268 0.2361 (multiplicity 18)

Its crystal system is trigonal. As for the formation energy: 1.0 eV/f.u.


20.
Below is a geometry-optimized PtC2 structure, with properties calculated at the PBE level.

abc: 2.620 15.885 2.732
angles: 90.00 90.00 90.00
Space group Cmcm (No. 63)
One atom of each set of equivalent atoms:
Pt 0.000 0.178 0.250 (multiplicity 4)
C 0.000 0.082 0.750 (multiplicity 4)
C 0.000 0.471 0.250 (multiplicity 4)

Its crystal system is orthorhombic. For the offset from the most stable computed form, the calculation gives 137 meV per atom. As for the formation energy: 1.4 eV/f.u.